(1)
A plane-wave DFT calculation with PBE was carried out for a geometry-optimized Li4Ge2H structure.

Lattice parameters (Å, degrees): 7.398 7.398 7.398 150.59 150.59 42.08
Atoms (fractional coordinates):
Li1 0.000 0.500 0.500
Li2 0.141 0.141 0.000
Li3 0.500 0.000 0.500
Li4 0.859 0.859 0.000
Ge1 0.326 0.326 0.000
Ge2 0.674 0.674 0.000
H1 0.000 0.000 0.000

Properties
As for the total moment: 0.000 μB per cell. As for the total energy: -3.0203 eV/atom. Its space group is No. 139.

---

(2)
A plane-wave DFT calculation with PBE was carried out for a geometry-optimized NiSbRh structure.

Lattice parameters (Å, degrees): 4.195 4.195 3.099 90.00 90.00 120.00
Atoms (fractional coordinates):
Ni1 0.000 0.000 0.000
Sb1 0.333 0.667 0.815
Rh1 0.667 0.333 0.456

Properties
As for the total moment: 0.000 μB per cell. As for the total energy: -5.8624 eV/atom. Its space group is No. 156. The value obtained for the raw formation energy is -0.11 eV per atom.

---

(3)
A plane-wave DFT calculation with PBE was carried out for a geometry-optimized Ca3Dy2UAs6 structure.

Lattice parameters (Å, degrees): 7.194 7.194 7.259 99.52 99.52 119.99
Atoms (fractional coordinates):
Ca1 0.000 0.000 0.000
Ca2 0.330 0.670 0.000
Ca3 0.670 0.330 0.000
Dy1 0.166 0.834 0.500
Dy2 0.834 0.166 0.500
U1 0.500 0.500 0.500
As1 0.103 0.423 0.269
As2 0.259 0.259 0.730
As3 0.423 0.103 0.269
As4 0.577 0.897 0.731
As5 0.741 0.741 0.270
As6 0.897 0.577 0.731

Properties
Its energy relative to the elements is -1222 meV per atom. As for the total moment: 0.000 μB per cell. As for the total energy: -5.7548 eV/atom. Its space group is No. 12.

---

(4)
A plane-wave DFT calculation with PBE was carried out for a geometry-optimized AcCe2Pr3As6 structure.

Lattice parameters (Å, degrees): 7.486 7.486 7.486 99.61 99.61 119.99
Atoms (fractional coordinates):
Ac1 0.000 0.000 0.000
Ce1 0.333 0.667 0.000
Ce2 0.667 0.333 0.000
Pr1 0.165 0.835 0.500
Pr2 0.500 0.500 0.500
Pr3 0.835 0.165 0.500
As1 0.083 0.428 0.249
As2 0.263 0.263 0.752
As3 0.428 0.083 0.249
As4 0.572 0.917 0.751
As5 0.737 0.737 0.248
As6 0.917 0.572 0.751

Properties
Its energy relative to the elements is -1463 meV per atom. As for the total moment: 1.297 μB per cell. As for the total energy: -6.3137 eV/atom. Its space group is No. 12.

---

(5)
A plane-wave DFT calculation with PBE was carried out for a geometry-optimized Tb3Nd7 structure.

Lattice parameters (Å, degrees): 9.650 9.650 7.282 101.05 101.05 30.97
Atoms (fractional coordinates):
Tb1 0.000 0.000 0.000
Tb2 0.201 0.201 0.600
Tb3 0.799 0.799 0.400
Nd1 0.000 0.000 0.500
Nd2 0.200 0.200 0.101
Nd3 0.399 0.399 0.699
Nd4 0.400 0.400 0.201
Nd5 0.600 0.600 0.799
Nd6 0.601 0.601 0.301
Nd7 0.800 0.800 0.899

Properties
Its energy relative to the elements is 13 meV per atom. As for the total moment: 0.000 μB per cell. As for the total energy: -4.7133 eV/atom. Its space group is No. 12.

---

(6)
A plane-wave DFT calculation with PBE was carried out for a geometry-optimized In12Sn3Te5 structure.

Lattice parameters (Å, degrees): 15.664 15.664 15.664 109.47 109.47 109.47
Atoms (fractional coordinates):
In1 0.065 0.231 0.148
In2 0.065 0.334 0.917
In3 0.083 0.648 0.417
In4 0.083 0.731 0.666
In5 0.083 0.852 0.417
In6 0.083 0.935 0.666
In7 0.148 0.065 0.231
In8 0.148 0.583 0.917
In9 0.166 0.231 0.583
In10 0.166 0.435 0.583
In11 0.231 0.148 0.065
In12 0.231 0.583 0.166
In13 0.269 0.334 0.917
In14 0.269 0.435 0.352
In15 0.334 0.917 0.065
In16 0.334 0.917 0.269
In17 0.352 0.269 0.435
In18 0.352 0.583 0.917
In19 0.417 0.083 0.648
In20 0.417 0.083 0.852
In21 0.417 0.834 0.565
In22 0.417 0.834 0.769
In23 0.435 0.352 0.269
In24 0.435 0.583 0.166
In25 0.565 0.417 0.834
In26 0.565 0.648 0.731
In27 0.583 0.166 0.231
In28 0.583 0.166 0.435
In29 0.583 0.917 0.148
In30 0.583 0.917 0.352
In31 0.648 0.417 0.083
In32 0.648 0.731 0.565
In33 0.666 0.083 0.731
In34 0.666 0.083 0.935
In35 0.731 0.565 0.648
In36 0.731 0.666 0.083
In37 0.769 0.417 0.834
In38 0.769 0.852 0.935
In39 0.834 0.565 0.417
In40 0.834 0.769 0.417
In41 0.852 0.417 0.083
In42 0.852 0.935 0.769
In43 0.917 0.065 0.334
In44 0.917 0.148 0.583
In45 0.917 0.269 0.334
In46 0.917 0.352 0.583
In47 0.935 0.666 0.083
In48 0.935 0.769 0.852
Sn1 0.125 0.250 0.375
Sn2 0.125 0.375 0.750
Sn3 0.250 0.375 0.125
Sn4 0.250 0.875 0.625
Sn5 0.375 0.125 0.250
Sn6 0.375 0.750 0.125
Sn7 0.625 0.250 0.875
Sn8 0.625 0.875 0.750
Sn9 0.750 0.125 0.375
Sn10 0.750 0.625 0.875
Sn11 0.875 0.625 0.250
Sn12 0.875 0.750 0.625
Te1 0.000 0.000 0.000
Te2 0.000 0.000 0.500
Te3 0.000 0.500 0.000
Te4 0.000 0.500 0.500
Te5 0.125 0.750 0.875
Te6 0.125 0.875 0.250
Te7 0.250 0.125 0.875
Te8 0.250 0.625 0.375
Te9 0.375 0.250 0.625
Te10 0.375 0.625 0.750
Te11 0.500 0.000 0.000
Te12 0.500 0.000 0.500
Te13 0.500 0.500 0.000
Te14 0.500 0.500 0.500
Te15 0.625 0.375 0.250
Te16 0.625 0.750 0.375
Te17 0.750 0.375 0.625
Te18 0.750 0.875 0.125
Te19 0.875 0.125 0.750
Te20 0.875 0.250 0.125

Properties
As for the total moment: 0.000 μB per cell. As for the total energy: -3.0462 eV/atom. Its space group is No. 230. The value obtained for the raw formation energy is -0.02 eV per atom.

---

(7)
A plane-wave DFT calculation with PBE was carried out for a geometry-optimized CdAgBi2Pd structure.

Lattice parameters (Å, degrees): 3.988 3.988 15.143 90.00 90.00 90.00
Atoms (fractional coordinates):
Cd1 0.250 0.250 0.144
Cd2 0.750 0.750 0.856
Ag1 0.250 0.750 0.000
Ag2 0.750 0.250 0.000
Bi1 0.250 0.250 0.380
Bi2 0.250 0.250 0.757
Bi3 0.750 0.750 0.243
Bi4 0.750 0.750 0.620
Pd1 0.250 0.250 0.563
Pd2 0.750 0.750 0.437

Properties
Its energy relative to the elements is -42 meV per atom. As for the total moment: 0.000 μB per cell. As for the total energy: -3.3859 eV/atom. Its space group is No. 129.

---

(8)
A plane-wave DFT calculation with PBE was carried out for a geometry-optimized NaNdGd2 structure.

Lattice parameters (Å, degrees): 12.958 12.958 12.958 15.79 15.79 15.79
Atoms (fractional coordinates):
Na1 0.000 0.000 0.000
Nd1 0.500 0.500 0.500
Gd1 0.091 0.091 0.091
Gd2 0.909 0.909 0.909

Properties
Its energy relative to the elements is 155 meV per atom. As for the total moment: 15.147 μB per cell. As for the total energy: -8.4071 eV/atom. Its space group is No. 166.

---

(9)
A plane-wave DFT calculation with PBE was carried out for a geometry-optimized Pm2ZnCo2 structure.

Lattice parameters (Å, degrees): 5.449 5.449 5.449 134.91 118.94 79.06
Atoms (fractional coordinates):
Pm1 0.210 0.210 0.000
Pm2 0.790 0.790 0.000
Zn1 0.500 0.000 0.500
Co1 0.208 0.500 0.708
Co2 0.792 0.500 0.292

Properties
Its energy relative to the elements is -196 meV per atom. As for the total moment: 0.000 μB per cell. As for the total energy: -5.1935 eV/atom. Its space group is No. 71.

---

(10)
A plane-wave DFT calculation with PBE was carried out for a geometry-optimized SrC2F structure.

Lattice parameters (Å, degrees): 4.357 4.357 4.357 60.00 60.00 60.00
Atoms (fractional coordinates):
Sr1 0.000 0.000 0.000
C1 0.250 0.250 0.250
C2 0.750 0.750 0.750
F1 0.500 0.500 0.500

Properties
As for the total moment: 0.000 μB per cell. As for the total energy: -3.7240 eV/atom. Its space group is No. 225. The value obtained for the raw formation energy is 1.78 eV per atom.

---

(11)
A plane-wave DFT calculation with PBE was carried out for a geometry-optimized Ag3H2Se4 structure.

Lattice parameters (Å, degrees): 8.244 8.244 5.544 98.36 98.36 81.04
Atoms (fractional coordinates):
Ag1 0.136 0.864 0.750
Ag2 0.257 0.504 0.944
Ag3 0.496 0.743 0.556
Ag4 0.504 0.257 0.444
Ag5 0.743 0.496 0.056
Ag6 0.864 0.136 0.250
H1 0.143 0.341 0.391
H2 0.341 0.143 0.891
H3 0.659 0.857 0.109
H4 0.857 0.659 0.609
Se1 0.157 0.199 0.857
Se2 0.199 0.157 0.357
Se3 0.237 0.590 0.459
Se4 0.410 0.763 0.041
Se5 0.590 0.237 0.959
Se6 0.763 0.410 0.541
Se7 0.801 0.843 0.643
Se8 0.843 0.801 0.143

Properties
As for the total moment: 0.000 μB per cell. As for the total energy: -3.1297 eV/atom. Its space group is No. 15.

---

(12)
A plane-wave DFT calculation with PBE was carried out for a geometry-optimized NaAlRe2H structure.

Lattice parameters (Å, degrees): 4.977 4.977 2.902 90.00 90.00 90.00
Atoms (fractional coordinates):
Na1 0.000 0.000 0.000
Al1 0.500 0.500 0.500
Re1 0.000 0.500 0.000
Re2 0.500 0.000 0.000
H1 0.000 0.000 0.500

Properties
As for the total moment: 0.001 μB per cell. As for the total energy: -4.5670 eV/atom. Its space group is No. 123.